This record from the Alexandria database describes a relaxed AcNdCuBi crystal. The functional is PBE.

```
AcNdCuBi
1.0
0.000 3.920 3.920
3.920 0.000 3.920
3.920 3.920 0.000
Ac Nd Cu Bi
1 1 1 1
direct
0.000 0.000 0.000
0.500 0.500 0.500
0.750 0.750 0.750
0.250 0.250 0.250
```

SG: No. 216
Density of states at the Fermi level, states/eV per atom: 1.17
Calculated formation energy, eV/f.u.: -1.34
Calculated density, g/cm³: 8.87